{"formula": "SiMo2As", "functional": "PBEsol", "state": "optimized geometry", "energy_ev_per_atom": -8.299, "space_group": "I-42d", "formation_energy_uncorrected_ev_per_atom": 0.299, "cell": [[-1.887, 1.887, 8.908], [1.887, -1.887, 8.908], [1.887, 1.887, -8.908]], "species": ["Si", "Si", "Mo", "Mo", "Mo", "Mo", "As", "As"], "fractional_positions": [[0.000, 0.000, 0.000], [0.750, 0.250, 0.500], [0.124, 0.625, 0.999], [0.375, 0.374, 0.499], [0.626, 0.125, 0.001], [0.875, 0.876, 0.501], [0.250, 0.750, 0.500], [0.500, 0.500, 0.000]]}